Record 1
Here is a geometry-optimized Rb2Pu2Se5 structure from the Alexandria database. Energies are from PBE-GGA.

abc: 7.968 7.961 9.319
angles: 115.29 90.00 90.00
Fractional coordinates of all 18 atoms:
Rb: 0.000 0.206 0.411
Rb: 0.500 0.706 0.411
Rb: 0.000 0.794 0.589
Rb: 0.500 0.294 0.589
Pu: 0.664 0.836 0.000
Pu: 0.336 0.164 0.000
Pu: 0.164 0.664 0.000
Pu: 0.836 0.336 0.000
Se: 0.000 0.000 0.000
Se: 0.500 0.500 0.000
Se: 0.857 0.751 0.216
Se: 0.143 0.465 0.216
Se: 0.357 0.965 0.216
Se: 0.643 0.251 0.216
Se: 0.143 0.249 0.784
Se: 0.857 0.535 0.784
Se: 0.643 0.035 0.784
Se: 0.357 0.749 0.784

Symmetry: Cmce

=====

Record 2
Here is a geometry-optimized Sn3P2Pd7 structure from the Alexandria database. Energies are from PBE-GGA.

abc: 3.890 4.051 13.859
angles: 98.40 90.00 90.00
Fractional coordinates of all 12 atoms:
Sn: 0.500 0.500 0.000
Sn: 0.500 0.701 0.403
Sn: 0.500 0.299 0.597
P: 0.000 0.874 0.749
P: 0.000 0.126 0.251
Pd: 0.000 0.420 0.841
Pd: 0.000 0.788 0.576
Pd: 0.000 0.000 0.000
Pd: 0.000 0.580 0.159
Pd: 0.500 0.077 0.153
Pd: 0.500 0.923 0.847
Pd: 0.000 0.212 0.424

DFT formation energy (eV per atom): -0.42
Symmetry: Cmmm

=====

Record 3
Here is a geometry-optimized MnCuWI2 structure from the Alexandria database. Energies are from PBE-GGA.

abc: 5.246 4.635 5.246
angles: 90.00 90.00 90.00
Fractional coordinates of all 5 atoms:
I: 0.000 0.000 0.500
I: 0.500 0.000 0.000
Mn: 0.000 0.000 0.000
Cu: 0.500 0.500 0.500
W: 0.000 0.500 0.000

Symmetry: P4/mmm

=====

Record 4
Here is a geometry-optimized LiHoAu2 structure from the Alexandria database. Energies are from PBE-GGA.

abc: 4.837 4.837 4.837
angles: 60.00 60.00 60.00
Fractional coordinates of all 4 atoms:
Au: 0.250 0.250 0.250
Au: 0.750 0.750 0.750
Ho: 0.500 0.500 0.500
Li: 0.000 0.000 0.000

DFT formation energy (eV per atom): -0.72
Symmetry: Fm-3m

=====

Record 5
Here is a geometry-optimized BeFeGe3 structure from the Alexandria database. Energies are from PBE-GGA.

abc: 4.394 4.394 4.394
angles: 90.00 90.00 90.00
Fractional coordinates of all 5 atoms:
Be: 0.000 0.000 0.000
Ge: 0.000 0.500 0.000
Ge: 0.000 0.000 0.500
Ge: 0.500 0.000 0.000
Fe: 0.500 0.500 0.500

DFT formation energy (eV per atom): 0.80
Symmetry: Pm-3m

=====

Record 6
Here is a geometry-optimized Cr2TeCl structure from the Alexandria database. Energies are from PBE-GGA.

abc: 3.506 3.506 7.043
angles: 90.00 90.00 90.00
Fractional coordinates of all 4 atoms:
Cr: 0.000 0.000 0.020
Cr: 0.000 0.000 0.480
Te: 0.500 0.500 0.250
Cl: 0.500 0.500 0.750

Symmetry: P4/mmm

=====

Electronic total energy values, unit eV per formula unit, following the record order: -59.39; -64.20; -21.79; -15.92; -22.02; -23.43.